Here is crystalline CrOsO2 at its relaxed geometry from the Alexandria database. Energies are from PBE with a Hubbard U.

abc: 6.451 6.451 6.451
angles: 25.53 25.53 25.53
Each line ends with the local moment (μB).
Atoms (fractional coordinates):
Cr (0.500, 0.500, 0.500)  3.07
Os (0.000, 0.000, 0.000)  0.59
O (0.892, 0.892, 0.892)  -0.03
O (0.108, 0.108, 0.108)  -0.03

Properties
Space-group type: R-3m (166)
E_tot: -0.30150 hartree per atom
Distance to the lowest polymorph of the same formula: 0 meV per atom
Spin magnetization: 0.923 μB/atom